Density functional theory data (GGA-PBE) for crystalline MgScTiS2 at its relaxed geometry.

Computed properties:
Uncorrected energy ... -4.996 eV per atom

Unit cell a=4.7332 b=4.7332 c=5.0436 alpha=90.00 beta=90.00 gamma=90.00
Closest atoms and distances in Å follow each position.
Space group P4/mmm (No. 123)
Symmetry-distinct sites (fractional):
1 Mg 0.0000 0.0000 0.0000 (multiplicity 1)  4 Sc 3.35, 8 S 3.46
2 Sc 0.5000 0.5000 0.0000 (multiplicity 1)  2 Ti 2.52
3 Ti 0.5000 0.5000 0.5000 (multiplicity 1)  4 S 2.37, 2 Sc 2.52
4 S 0.0000 0.5000 0.5000 (multiplicity 2)  2 Ti 2.37

Density functional theory data (GGA-PBE) for crystalline MgSc2Tl3S6 at its relaxed geometry.

Computed properties:
Uncorrected energy ... -4.986 eV per atom

Unit cell a=6.6700 b=11.5580 c=7.5188 alpha=90.00 beta=107.20 gamma=90.00
Closest atoms and distances in Å follow each position.
Space group C2/m (No. 12)
Symmetry-distinct sites (fractional):
1 Mg 0.0000 0.0000 0.0000 (multiplicity 2)  6 S 2.63-2.65
2 Sc 0.0000 0.3328 0.0000 (multiplicity 4)  6 S 2.61
3 Tl 0.0000 0.1656 0.5000 (multiplicity 4)  6 S 3.12-3.14
4 Tl 0.0000 0.5000 0.5000 (multiplicity 2)  6 S 3.12-3.14
5 S 0.2267 0.5000 0.1912 (multiplicity 4)  2 Sc 2.61, 1 Mg 2.63
6 S 0.2335 0.1689 0.1934 (multiplicity 8)  2 Sc 2.61, 1 Mg 2.65

Density functional theory data (GGA-PBE) for crystalline MgSc2TlS at its relaxed geometry.

Computed properties:
Uncorrected energy ... -4.791 eV per atom

Unit cell a=4.8455 b=4.8455 c=4.7978 alpha=90.00 beta=90.00 gamma=90.00
Closest atoms and distances in Å follow each position.
Space group P4/mmm (No. 123)
Symmetry-distinct sites (fractional):
1 Mg 0.0000 0.0000 0.0000 (multiplicity 1)  2 S 2.40
2 Sc 0.0000 0.5000 0.5000 (multiplicity 2)  2 S 2.42
3 Tl 0.5000 0.5000 0.0000 (multiplicity 1)  8 Sc 3.41, 4 Mg 3.43
4 S 0.0000 0.0000 0.5000 (multiplicity 1)  2 Mg 2.40, 4 Sc 2.42

Density functional theory data (GGA-PBE) for crystalline TmMgSc2S4 at its relaxed geometry.

Computed properties:
Uncorrected energy ... -6.125 eV per atom

Unit cell a=6.4703 b=3.7117 c=6.5113 alpha=90.00 beta=109.12 gamma=90.00
Closest atoms and distances in Å follow each position.
Space group P2/m (No. 10)
Symmetry-distinct sites (fractional):
1 Tm 0.0000 0.0000 0.0000 (multiplicity 1)  6 S 2.68
2 Mg 0.5000 0.5000 0.0000 (multiplicity 1)  6 S 2.61
3 Sc 0.0000 0.5000 0.5000 (multiplicity 1)  6 S 2.67-2.68
4 Sc 0.5000 0.0000 0.5000 (multiplicity 1)  6 S 2.61
5 S 0.2594 0.0000 0.7521 (multiplicity 2)  3 Sc 2.61-2.67, 2 Mg 2.61, 1 Tm 2.68
6 S 0.2605 0.5000 0.2535 (multiplicity 2)  3 Sc 2.61-2.68, 1 Mg 2.61, 2 Tm 2.68

Copy entry 2 word for word.
Density functional theory data (GGA-PBE) for crystalline MgSc2Tl3S6 at its relaxed geometry.

Computed properties:
Uncorrected energy ... -4.986 eV per atom

Unit cell a=6.6700 b=11.5580 c=7.5188 alpha=90.00 beta=107.20 gamma=90.00
Closest atoms and distances in Å follow each position.
Space group C2/m (No. 12)
Symmetry-distinct sites (fractional):
1 Mg 0.0000 0.0000 0.0000 (multiplicity 2)  6 S 2.63-2.65
2 Sc 0.0000 0.3328 0.0000 (multiplicity 4)  6 S 2.61
3 Tl 0.0000 0.1656 0.5000 (multiplicity 4)  6 S 3.12-3.14
4 Tl 0.0000 0.5000 0.5000 (multiplicity 2)  6 S 3.12-3.14
5 S 0.2267 0.5000 0.1912 (multiplicity 4)  2 Sc 2.61, 1 Mg 2.63
6 S 0.2335 0.1689 0.1934 (multiplicity 8)  2 Sc 2.61, 1 Mg 2.65

Which of these has the highest uncorrected energy?
MgSc2TlS